Entry w
Compound: TlAg2P
Source: Alexandria via LeMat-Bulk
Functional: SCAN
Structure: single point on PBEsol structure

SG ... I-4m2 (119)
Calculated volume ... 18.48 Å³ per atom

a b c (Å): 4.1327 4.1327 5.2223
angles (deg): 113.31 113.31 90.00
Positions (direct):
1 P 0.5000 0.5000 0.0000
2 Tl 0.2500 0.7500 0.5000
3 Ag 0.0000 0.0000 0.0000
4 Ag 0.7500 0.2500 0.5000



Entry x
Compound: TlAg2P
Source: Alexandria via LeMat-Bulk
Functional: SCAN
Structure: single point on PBEsol structure

SG ... C2/m (12)
Calculated volume ... 19.08 Å³ per atom

a b c (Å): 2.9408 5.6499 5.5910
angles (deg): 120.38 105.30 89.91
Positions (direct):
1 Tl 0.0000 0.5000 0.0000
2 P 0.5000 0.0000 0.0000
3 Ag 0.5000 0.5000 0.5000
4 Ag 0.0000 0.0000 0.5000



Entry y
Compound: TlAg2P
Source: Alexandria via LeMat-Bulk
Functional: SCAN
Structure: single point on PBEsol structure

SG ... Cmmm (65)
Calculated volume ... 18.60 Å³ per atom

a b c (Å): 2.9647 5.1090 5.1090
angles (deg): 105.92 90.00 90.00
Positions (direct):
1 P 0.5000 0.0000 0.0000
2 Ag 0.0000 0.5000 0.0000
3 Ag 0.0000 0.0000 0.5000
4 Tl 0.5000 0.5000 0.5000



Most stable: entry w. Least stable: entry x.



Entry w
Compound: AgPW
Source: Alexandria via LeMat-Bulk
Functional: SCAN
Structure: single point on PBEsol structure

SG ... F-43m (216)
Calculated volume ... 15.85 Å³ per atom

a b c (Å): 4.0661 4.0661 4.0661
angles (deg): 60.00 60.00 60.00
Positions (direct):
1 P 0.2500 0.2500 0.2500
2 Ag 0.5000 0.5000 0.5000
3 W 0.0000 0.0000 0.0000



Entry x
Compound: AgPW
Source: Alexandria via LeMat-Bulk
Functional: SCAN
Structure: single point on PBEsol structure

SG ... P-6m2 (187)
Calculated volume ... 15.88 Å³ per atom

a b c (Å): 3.3074 4.0778 4.0778
angles (deg): 120.00 90.00 90.00
Positions (direct):
1 Ag 0.0000 0.0000 0.0000
2 P 0.5000 0.6667 0.3333
3 W 0.5000 0.3333 0.6667



Most stable: entry x. Least stable: entry w.



Entry w
Compound: ReAgPb2
Source: Alexandria via LeMat-Bulk
Functional: SCAN
Structure: single point on PBEsol structure

SG ... R-3m (166)
Calculated volume ... 20.76 Å³ per atom

a b c (Å): 3.2345 3.2345 9.3517
angles (deg): 80.04 80.04 60.00
Positions (direct):
1 Ag 0.0000 0.0000 0.0000
2 Pb 0.7555 0.7555 0.7334
3 Pb 0.2445 0.2445 0.2666
4 Re 0.5000 0.5000 0.5000



Entry x
Compound: ReAgPb2
Source: Alexandria via LeMat-Bulk
Functional: SCAN
Structure: single point on PBEsol structure

SG ... P4/mmm (123)
Calculated volume ... 20.19 Å³ per atom

a b c (Å): 3.5137 3.5137 6.5417
angles (deg): 90.00 90.00 90.00
Positions (direct):
1 Pb 0.0000 0.0000 0.7377
2 Pb 0.0000 0.0000 0.2623
3 Re 0.5000 0.5000 0.5000
4 Ag 0.5000 0.5000 0.0000



Entry y
Compound: ReAgPb2
Source: Alexandria via LeMat-Bulk
Functional: SCAN
Structure: single point on PBEsol structure

SG ... P4mm (99)
Calculated volume ... 21.94 Å³ per atom

a b c (Å): 3.0216 3.0216 9.6136
angles (deg): 90.00 90.00 90.00
Each line ends with the local moment (μB).
Positions (direct):
1 Re 0.0000 0.0000 0.5277  0.54
2 Pb 0.5000 0.5000 0.3079  -0.02
3 Pb 0.0000 0.0000 0.9489  -0.01
4 Ag 0.5000 0.5000 0.7156  0.01



Entry z
Compound: ReAgPb2
Source: Alexandria via LeMat-Bulk
Functional: SCAN
Structure: single point on PBEsol structure

SG ... Imm2 (44)
Calculated volume ... 22.35 Å³ per atom

a b c (Å): 3.0359 4.5477 7.0274
angles (deg): 108.87 102.47 90.00
Positions (direct):
1 Pb 0.0114 0.0114 0.0229
2 Pb 0.8008 0.3008 0.6017
3 Ag 0.1857 0.6858 0.3715
4 Re 0.5020 0.5020 0.0040



Most stable: entry z. Least stable: entry x.



Entry w
Compound: AgRhPb
Source: Alexandria via LeMat-Bulk
Functional: SCAN
Structure: single point on PBEsol structure

SG ... F-43m (216)
Calculated volume ... 20.65 Å³ per atom

a b c (Å): 4.4412 4.4412 4.4412
angles (deg): 60.00 60.00 60.00
Positions (direct):
1 Ag 0.5000 0.5000 0.5000
2 Pb 0.2500 0.2500 0.2500
3 Rh 0.0000 0.0000 0.0000



Entry x
Compound: AgRhPb
Source: Alexandria via LeMat-Bulk
Functional: SCAN
Structure: single point on PBEsol structure

SG ... F-43m (216)
Calculated volume ... 20.45 Å³ per atom

a b c (Å): 4.4268 4.4268 4.4268
angles (deg): 60.00 60.00 60.00
Positions (direct):
1 Rh 0.2500 0.2500 0.2500
2 Pb 0.5000 0.5000 0.5000
3 Ag 0.0000 0.0000 0.0000



Entry y
Compound: AgRhPb
Source: Alexandria via LeMat-Bulk
Functional: SCAN
Structure: single point on PBEsol structure

SG ... I4mm (107)
Calculated volume ... 18.02 Å³ per atom

a b c (Å): 3.4862 3.4862 5.0863
angles (deg): 110.04 110.04 90.00
Positions (direct):
1 Rh 0.3335 0.3335 0.6671
2 Pb 0.6721 0.6721 0.3442
3 Ag 0.9943 0.9943 0.9887



Most stable: entry x. Least stable: entry w.



Entry w
Compound: AgRuPb2
Source: Alexandria via LeMat-Bulk
Functional: SCAN
Structure: single point on PBEsol structure

SG ... Pmm2 (25)
Calculated volume ... 20.22 Å³ per atom

a b c (Å): 3.4233 4.1120 5.7452
angles (deg): 90.00 90.00 90.00
Positions (direct):
1 Ru 0.0000 0.0000 0.4724
2 Pb 0.5000 0.5000 0.3001
3 Pb 0.0000 0.0000 0.9589
4 Ag 0.5000 0.5000 0.7686



Entry x
Compound: AgRuPb2
Source: Alexandria via LeMat-Bulk
Functional: SCAN
Structure: single point on PBEsol structure

SG ... Pmmm (47)
Calculated volume ... 20.61 Å³ per atom

a b c (Å): 3.4698 4.3882 5.4148
angles (deg): 90.00 90.00 90.00
Positions (direct):
1 Ru 0.5000 0.5000 0.0000
2 Pb 0.0000 0.0000 0.0000
3 Pb 0.5000 0.0000 0.5000
4 Ag 0.0000 0.5000 0.5000



Most stable: entry w. Least stable: entry x.



Entry w
Compound: SiAgPb
Source: Alexandria via LeMat-Bulk
Functional: SCAN
Structure: single point on PBEsol structure

SG ... F-43m (216)
Calculated volume ... 22.72 Å³ per atom

a b c (Å): 4.5848 4.5848 4.5848
angles (deg): 60.00 60.00 60.00
Positions (direct):
1 Ag 0.7500 0.7500 0.7500
2 Si 0.5000 0.5000 0.5000
3 Pb 0.0000 0.0000 0.0000



Entry x
Compound: SiAgPb
Source: Alexandria via LeMat-Bulk
Functional: SCAN
Structure: single point on PBEsol structure

SG ... P3m1 (156)
Calculated volume ... 21.13 Å³ per atom

a b c (Å): 3.3367 3.3367 6.5756
angles (deg): 90.00 90.00 120.00
Positions (direct):
1 Si 0.6667 0.3333 0.3010
2 Ag 0.0000 0.0000 0.0373
3 Pb 0.3333 0.6667 0.6618



Most stable: entry x. Least stable: entry w.



Entry w
Compound: Ag2Sn2Pb
Source: Alexandria via LeMat-Bulk
Functional: SCAN
Structure: single point on PBEsol structure

SG ... I4/mmm (139)
Calculated volume ... 23.98 Å³ per atom

a b c (Å): 4.3733 4.3733 6.9905
angles (deg): 108.23 108.23 90.00
Positions (direct):
1 Sn 0.3871 0.3871 0.7742
2 Sn 0.6129 0.6129 0.2258
3 Ag 0.7500 0.2500 0.5000
4 Ag 0.2500 0.7500 0.5000
5 Pb 0.0000 0.0000 0.0000



Entry x
Compound: Ag2Sn2Pb
Source: Alexandria via LeMat-Bulk
Functional: SCAN
Structure: single point on PBEsol structure

SG ... P4/mbm (127)
Calculated volume ... 22.87 Å³ per atom

a b c (Å): 3.2923 8.3345 8.3345
angles (deg): 90.00 90.00 90.00
Positions (direct):
1 Ag 0.0000 0.6258 0.1258
2 Ag 0.0000 0.8742 0.6258
3 Ag 0.0000 0.3742 0.8742
4 Ag 0.0000 0.1258 0.3742
5 Sn 0.5000 0.8323 0.3323
6 Sn 0.5000 0.3323 0.1677
7 Sn 0.5000 0.6677 0.8323
8 Sn 0.5000 0.1677 0.6677
9 Pb 0.0000 0.0000 0.0000
10 Pb 0.0000 0.5000 0.5000



Most stable: entry w. Least stable: entry x.



Entry w
Compound: AgPbW2
Source: Alexandria via LeMat-Bulk
Functional: SCAN
Structure: single point on PBEsol structure

SG ... P4/mmm (123)
Calculated volume ... 17.40 Å³ per atom

a b c (Å): 2.9940 4.8222 4.8222
angles (deg): 90.00 90.00 90.00
Positions (direct):
1 Ag 0.5000 0.5000 0.5000
2 W 0.0000 0.0000 0.5000
3 W 0.0000 0.5000 0.0000
4 Pb 0.5000 0.0000 0.0000



Entry x
Compound: AgPbW2
Source: Alexandria via LeMat-Bulk
Functional: SCAN
Structure: single point on PBEsol structure

SG ... Immm (71)
Calculated volume ... 17.62 Å³ per atom

a b c (Å): 3.2240 4.5870 5.5286
angles (deg): 114.51 106.95 90.00
Positions (direct):
1 Ag 0.5000 0.0000 0.0000
2 W 0.7475 0.7475 0.4951
3 W 0.2525 0.2525 0.5049
4 Pb 0.0000 0.5000 0.0000



Most stable: entry x. Least stable: entry w.



Entry w
Compound: ZnAg2Pb
Source: Alexandria via LeMat-Bulk
Functional: SCAN
Structure: single point on PBEsol structure

SG ... C2/m (12)
Calculated volume ... 19.27 Å³ per atom

a b c (Å): 3.0551 4.8309 5.6371
angles (deg): 101.72 90.00 108.43
Positions (direct):
1 Ag 0.7650 0.5300 0.7939
2 Ag 0.2350 0.4700 0.2061
3 Zn 0.5000 0.0000 0.0000
4 Pb 0.0000 0.0000 0.5000



Entry x
Compound: ZnAg2Pb
Source: Alexandria via LeMat-Bulk
Functional: SCAN
Structure: single point on PBEsol structure

SG ... I-4m2 (119)
Calculated volume ... 18.83 Å³ per atom

a b c (Å): 4.1914 4.1914 5.2112
angles (deg): 113.71 113.71 90.00
Positions (direct):
1 Zn 0.2500 0.7500 0.5000
2 Pb 0.5000 0.5000 0.0000
3 Ag 0.0000 0.0000 0.0000
4 Ag 0.7500 0.2500 0.5000



Entry y
Compound: ZnAg2Pb
Source: Alexandria via LeMat-Bulk
Functional: SCAN
Structure: single point on PBEsol structure

SG ... Immm (71)
Calculated volume ... 19.07 Å³ per atom

a b c (Å): 3.2440 5.0305 5.5509
angles (deg): 116.94 106.99 90.00
Positions (direct):
1 Ag 0.7252 0.7252 0.4504
2 Ag 0.2748 0.2748 0.5496
3 Zn 0.0000 0.5000 0.0000
4 Pb 0.5000 0.0000 0.0000



Entry z
Compound: ZnAg2Pb
Source: Alexandria via LeMat-Bulk
Functional: SCAN
Structure: single point on PBEsol structure

SG ... Cm (8)
Calculated volume ... 19.53 Å³ per atom

a b c (Å): 3.1239 4.8597 5.5444
angles (deg): 100.84 90.00 108.75
Positions (direct):
1 Ag 0.0038 0.0077 0.0215
2 Ag 0.2581 0.5163 0.7873
3 Pb 0.4978 0.9956 0.5073
4 Zn 0.7402 0.4805 0.1839



Most stable: entry w. Least stable: entry x.



Entry w
Compound: Sr2AgPd2
Source: Alexandria via LeMat-Bulk
Functional: SCAN
Structure: single point on PBEsol structure

SG ... P4/mbm (127)
Calculated volume ... 23.65 Å³ per atom

a b c (Å): 4.2850 7.4294 7.4294
angles (deg): 90.00 90.00 90.00
Positions (direct):
1 Pd 0.0000 0.1295 0.3705
2 Pd 0.0000 0.8705 0.6295
3 Pd 0.0000 0.3705 0.8705
4 Pd 0.0000 0.6295 0.1295
5 Sr 0.5000 0.3253 0.1747
6 Sr 0.5000 0.8253 0.3253
7 Sr 0.5000 0.6747 0.8253
8 Sr 0.5000 0.1747 0.6747
9 Ag 0.0000 0.0000 0.0000
10 Ag 0.0000 0.5000 0.5000



Entry x
Compound: Sr2AgPd2
Source: Alexandria via LeMat-Bulk
Functional: SCAN
Structure: single point on PBEsol structure

SG ... I4/mmm (139)
Calculated volume ... 26.15 Å³ per atom

a b c (Å): 5.6740 5.6740 5.6740
angles (deg): 91.44 119.17 119.17
Positions (direct):
1 Sr 0.5000 0.7500 0.2500
2 Sr 0.5000 0.2500 0.7500
3 Pd 0.0000 0.6620 0.6620
4 Pd 0.0000 0.3380 0.3380
5 Ag 0.0000 0.0000 0.0000



Most stable: entry w. Least stable: entry x.



Entry w
Compound: Ag5Pt6
Source: Alexandria via LeMat-Bulk
Functional: SCAN
Structure: single point on PBEsol structure

SG ... P-1 (2)
Calculated volume ... 15.56 Å³ per atom

a b c (Å): 4.8210 6.2820 6.3271
angles (deg): 107.29 105.26 98.48
Positions (direct):
1 Ag 0.5975 0.3187 0.8691
2 Ag 0.4025 0.6813 0.1309
3 Ag 0.5000 0.5000 0.5000
4 Ag 0.1365 0.2265 0.0471
5 Ag 0.8635 0.7735 0.9529
6 Pt 0.2250 0.0404 0.4155
7 Pt 0.0468 0.4073 0.6733
8 Pt 0.9532 0.5927 0.3267
9 Pt 0.7750 0.9596 0.5845
10 Pt 0.3188 0.8622 0.7678
11 Pt 0.6812 0.1378 0.2322



Entry x
Compound: Ag5Pt6
Source: Alexandria via LeMat-Bulk
Functional: SCAN
Structure: single point on PBEsol structure

SG ... P1 (1)
Calculated volume ... 15.56 Å³ per atom

a b c (Å): 4.8860 6.2446 6.2682
angles (deg): 107.88 97.52 105.00
Each line ends with the local moment (μB).
Positions (direct):
1 Pt 0.9045 0.6248 0.1859  0.03
2 Pt 0.1852 0.7305 0.6343  0.04
3 Pt 0.8229 0.2756 0.3669  0.05
4 Pt 0.5478 0.1820 0.9098  0.05
5 Pt 0.7324 0.9134 0.5449  0.04
6 Pt 0.0804 0.3653 0.8121  0.05
7 Ag 0.0014 0.0000 0.0002  0.00
8 Ag 0.6349 0.5484 0.7293  0.00
9 Ag 0.3647 0.4538 0.2705  0.00
10 Ag 0.4531 0.8173 0.0909  0.00
11 Ag 0.2727 0.0888 0.4551  0.00



Entry y
Compound: Ag5Pt6
Source: Alexandria via LeMat-Bulk
Functional: SCAN
Structure: single point on PBEsol structure

SG ... Cm (8)
Calculated volume ... 15.56 Å³ per atom

a b c (Å): 3.9376 6.2332 7.4430
angles (deg): 103.22 105.34 90.00
Positions (direct):
1 Pt 0.9077 0.5418 0.8153
2 Pt 0.1878 0.9242 0.3757
3 Pt 0.6353 0.1766 0.2707
4 Pt 0.3645 0.8162 0.7289
5 Pt 0.4512 0.2683 0.9025
6 Pt 0.8190 0.0903 0.6381
7 Ag 0.0008 0.9963 0.0017
8 Ag 0.7265 0.6397 0.4531
9 Ag 0.2716 0.3694 0.5431
10 Ag 0.5460 0.7242 0.0920
11 Ag 0.0895 0.4530 0.1789



Most stable: entry w. Least stable: entry x.